1.
This record from Alexandria describes a crystal of Cd2Pd2N relaxed with PBEsol. The functional is meta-GGA SCAN.

a b c (Å): 7.518 7.518 7.518
angles (deg): 153.14 153.14 38.35
Atoms (fractional coordinates):
Cd  0.094  0.094  0.000
Cd  0.906  0.906  0.000
Pd  0.250  0.750  0.500
Pd  0.750  0.250  0.500
N  0.500  0.500  0.000

Properties
- Fermi-level density of states: 3.0 states/eV/f.u.
- ΔE_f (raw): 0.761 eV/atom
- Density: 8.661 Mg/m³



2.
This record from Alexandria describes a crystal of CdTe2PdN relaxed with PBEsol. The functional is meta-GGA SCAN.

a b c (Å): 5.557 5.557 3.910
angles (deg): 90.00 90.00 90.00
Atoms (fractional coordinates):
Cd  0.000  0.000  0.000
Te  0.000  0.500  0.000
Te  0.500  0.000  0.000
Pd  0.500  0.500  0.500
N  0.000  0.000  0.500

Properties
- Fermi-level density of states: 2.8 states/eV/f.u.
- ΔE_f (raw): 1.184 eV/atom
- Density: 6.713 Mg/m³



3.
This record from Alexandria describes a crystal of CdPtN3 relaxed with PBEsol. The functional is meta-GGA SCAN.

a b c (Å): 3.935 3.935 3.935
angles (deg): 90.00 90.00 90.00
Atoms (fractional coordinates):
Cd  0.000  0.000  0.000
Pt  0.500  0.500  0.500
N  0.000  0.500  0.500
N  0.500  0.000  0.500
N  0.500  0.500  0.000

Properties
- Fermi-level density of states: 2.6 states/eV/f.u.
- ΔE_f (raw): 1.560 eV/atom
- Density: 9.523 Mg/m³



4.
This record from Alexandria describes a crystal of CdPtSN2 relaxed with PBEsol. The functional is meta-GGA SCAN.

a b c (Å): 3.978 3.978 5.365
angles (deg): 90.00 90.00 90.00
Atoms (fractional coordinates):
Cd  0.000  0.000  0.000
Pt  0.500  0.500  0.500
S  0.000  0.000  0.500
N  0.000  0.500  0.000
N  0.500  0.000  0.000

Properties
- Fermi-level density of states: 2.0 states/eV/f.u.
- ΔE_f (raw): 2.025 eV/atom
- Density: 7.188 Mg/m³



5.
This record from Alexandria describes a crystal of CdRhSe2N relaxed with PBEsol. The functional is meta-GGA SCAN.

a b c (Å): 5.110 5.110 3.590
angles (deg): 90.00 90.00 90.00
Atoms (fractional coordinates):
Cd  0.000  0.000  0.000
Rh  0.500  0.500  0.500
Se  0.000  0.500  0.500
Se  0.500  0.000  0.500
N  0.500  0.500  0.000

Properties
- Fermi-level density of states: 3.0 states/eV/f.u.
- ΔE_f (raw): 0.240 eV/atom
- Density: 6.861 Mg/m³



6.
This record from Alexandria describes a crystal of Cd2SN relaxed with PBEsol. The functional is meta-GGA SCAN.

a b c (Å): 6.520 6.520 6.520
angles (deg): 130.12 130.12 73.21
Atoms (fractional coordinates):
Cd  0.066  0.625  0.941
Cd  0.375  0.316  0.441
Cd  0.684  0.125  0.059
Cd  0.875  0.934  0.559
S  0.250  0.750  0.500
S  0.500  0.500  0.000
N  0.000  0.000  0.000
N  0.750  0.250  0.500

Properties
- Fermi-level density of states: 2.9 states/eV/f.u.
- ΔE_f (raw): 0.188 eV/atom
- Density: 5.686 Mg/m³



7.
This record from Alexandria describes a crystal of ScCdS2N relaxed with PBEsol. The functional is meta-GGA SCAN.

a b c (Å): 4.943 4.943 4.051
angles (deg): 90.00 90.00 90.00
Atoms (fractional coordinates):
Sc  0.000  0.000  0.000
Cd  0.500  0.500  0.500
S  0.000  0.500  0.000
S  0.500  0.000  0.000
N  0.000  0.000  0.500

Properties
- Fermi-level density of states: 1.4 states/eV/f.u.
- ΔE_f (raw): -0.246 eV/atom
- Density: 3.951 Mg/m³



8.
This record from Alexandria describes a crystal of SrCdSN2 relaxed with PBEsol. The functional is meta-GGA SCAN.

a b c (Å): 4.664 4.664 5.747
angles (deg): 90.00 90.00 90.00
Atoms (fractional coordinates):
Sr  0.000  0.000  0.000
Cd  0.500  0.500  0.500
S  0.000  0.000  0.500
N  0.000  0.500  0.000
N  0.500  0.000  0.000

Properties
- Fermi-level density of states: 2.3 states/eV/f.u.
- ΔE_f (raw): 1.141 eV/atom
- Density: 3.455 Mg/m³



9.
This record from Alexandria describes a crystal of CdTe2SN relaxed with PBEsol. The functional is meta-GGA SCAN.

a b c (Å): 5.579 5.579 3.968
angles (deg): 90.00 90.00 90.00
Atoms (fractional coordinates):
Cd  0.000  0.000  0.000
Te  0.000  0.500  0.000
Te  0.500  0.000  0.000
S  0.500  0.500  0.500
N  0.000  0.000  0.500

Properties
- Fermi-level density of states: 4.1 states/eV/f.u.
- ΔE_f (raw): 1.299 eV/atom
- Density: 5.561 Mg/m³



10.
This record from Alexandria describes a crystal of CdWSN2 relaxed with PBEsol. The functional is meta-GGA SCAN.

a b c (Å): 4.031 4.031 4.895
angles (deg): 90.00 90.00 90.00
Atoms (fractional coordinates):
Cd  0.000  0.000  0.000
W  0.500  0.500  0.500
S  0.000  0.000  0.500
N  0.000  0.500  0.000
N  0.500  0.000  0.000

Properties
- Fermi-level density of states: 2.0 states/eV/f.u.
- ΔE_f (raw): 2.300 eV/atom
- Density: 7.437 Mg/m³



11.
This record from Alexandria describes a crystal of Cd3SbN relaxed with PBEsol. The functional is meta-GGA SCAN.

a b c (Å): 4.613 4.613 4.613
angles (deg): 90.00 90.00 90.00
Atoms (fractional coordinates):
Cd  0.000  0.000  0.500
Cd  0.000  0.500  0.000
Cd  0.500  0.000  0.000
Sb  0.500  0.500  0.500
N  0.000  0.000  0.000

Properties
- Fermi-level density of states: 1.1 states/eV/f.u.
- ΔE_f (raw): 0.313 eV/atom
- Density: 8.001 Mg/m³



12.
This record from Alexandria describes a crystal of CdSe3N relaxed with PBEsol. The functional is meta-GGA SCAN.

a b c (Å): 4.424 4.424 4.424
angles (deg): 90.00 90.00 90.00
Atoms (fractional coordinates):
Cd  0.000  0.000  0.000
Se  0.000  0.500  0.500
Se  0.500  0.000  0.500
Se  0.500  0.500  0.000
N  0.500  0.500  0.500

Properties
- Fermi-level density of states: 4.1 states/eV/f.u.
- ΔE_f (raw): 0.739 eV/atom
- Density: 6.969 Mg/m³



Among the records above, which one has the lowest ΔE_f (raw)? ScCdS2N